Entry 1:
Material: YCu2NiTe
Method: DFT, PBE
State: optimized geometry

Cell lengths 5.084, 5.084, 5.736 Å; angles 90.00, 90.00, 90.00 degrees
Element x y z (fractional)
Y  0.000  0.000  0.000
Cu  0.000  0.500  0.000
Cu  0.500  0.000  0.000
Ni  0.500  0.500  0.500
Te  0.000  0.000  0.500

Values from the calculation:
Raw formation energy in meV/atom: 1164
Uncorrected energy in eV per atom: -3.5519

Entry 2:
Material: ZnCuNiTe2
Method: DFT, PBE
State: optimized geometry

Cell lengths 4.988, 4.988, 4.553 Å; angles 90.00, 90.00, 90.00 degrees
Element x y z (fractional)
Zn  0.000  0.000  0.000
Cu  0.500  0.500  0.000
Ni  0.500  0.500  0.500
Te  0.000  0.500  0.500
Te  0.500  0.000  0.500

Values from the calculation:
Raw formation energy in meV/atom: 412
Uncorrected energy in eV per atom: -3.0745

Entry 3:
Material: ZrCuNi2Te
Method: DFT, PBE
State: optimized geometry

Cell lengths 4.380, 4.380, 4.785 Å; angles 90.00, 90.00, 90.00 degrees
Element x y z (fractional)
Zr  0.000  0.000  0.000
Cu  0.500  0.500  0.500
Ni  0.000  0.500  0.500
Ni  0.500  0.000  0.500
Te  0.500  0.500  0.000

Values from the calculation:
Raw formation energy in meV/atom: 501
Uncorrected energy in eV per atom: -4.9688

Entry 4:
Material: Th2Cu3Ni4
Method: DFT, PBE
State: optimized geometry

Cell lengths 7.798, 6.934, 5.018 Å; angles 79.69, 61.02, 39.28 degrees
Element x y z (fractional)
Th  0.146  0.146  0.854
Th  0.854  0.854  0.146
Cu  0.000  0.000  0.500
Cu  0.500  0.500  0.000
Cu  0.500  0.500  0.500
Ni  0.163  0.501  0.499
Ni  0.499  0.837  0.163
Ni  0.501  0.163  0.837
Ni  0.837  0.499  0.501

Values from the calculation:
Formation energy in eV/f.u.: -2.62
Uncorrected energy in eV per atom: -5.8747